Record 1
First-principles (PBE) data for a geometry-optimized TbSb2Pd structure, as listed in the Open Quantum Materials Database.

a = 4.444 Å, b = 4.444 Å, c = 9.557 Å
α = 90.00°, β = 90.00°, γ = 90.00°
Sites, in units of the cell vectors:
Sb  0.500  0.500  0.000
Sb  0.000  0.000  0.000
Sb  0.000  0.500  0.335
Sb  0.500  0.000  0.665
Pd  0.500  0.500  0.500
Pd  0.000  0.000  0.500
Tb  0.000  0.500  0.746
Tb  0.500  0.000  0.254

As for the final energy: -5.3250 eV per atom. The space-group type is No. 129.



Record 2
First-principles (PBE) data for a geometry-optimized Ho2SiSnOs structure, as listed in the Open Quantum Materials Database.

a = 5.854 Å, b = 5.854 Å, c = 10.524 Å
α = 116.25°, β = 116.25°, γ = 42.94°
Sites, in units of the cell vectors:
Ho  0.006  0.006  0.661
Ho  0.811  0.811  0.869
Ho  0.994  0.994  0.339
Ho  0.189  0.189  0.131
Sn  0.476  0.476  0.126
Sn  0.524  0.524  0.874
Os  0.263  0.263  0.619
Os  0.737  0.737  0.381
Si  0.353  0.353  0.442
Si  0.647  0.647  0.558

As for the final energy: -6.6778 eV per atom. The space-group type is No. 12.



Record 3
First-principles (PBE) data for a geometry-optimized PmZrPO structure, as listed in the Open Quantum Materials Database.

a = 4.205 Å, b = 4.205 Å, c = 8.751 Å
α = 90.00°, β = 90.00°, γ = 90.00°
Sites, in units of the cell vectors:
O  0.000  0.000  0.000
O  0.500  0.500  0.000
Pm  0.500  0.000  0.879
Pm  0.000  0.500  0.121
P  0.000  0.500  0.680
P  0.500  0.000  0.320
Zr  0.000  0.000  0.500
Zr  0.500  0.500  0.500

As for the final energy: -7.9251 eV per atom. The space-group type is No. 129.



Record 4
First-principles (PBE) data for a geometry-optimized ZnSbPbF structure, as listed in the Open Quantum Materials Database.

a = 11.400 Å, b = 11.400 Å, c = 11.400 Å
α = 22.02°, β = 22.02°, γ = 22.02°
Sites, in units of the cell vectors:
Zn  0.194  0.194  0.194
Zn  0.806  0.806  0.806
Sb  0.889  0.889  0.889
Sb  0.111  0.111  0.111
F  0.692  0.692  0.692
F  0.308  0.308  0.308
Pb  0.384  0.384  0.384
Pb  0.616  0.616  0.616

As for the final energy: -3.5827 eV per atom. The space-group type is No. 166.



Record 5
First-principles (PBE) data for a geometry-optimized Sn2Au7 structure, as listed in the Open Quantum Materials Database.

a = 3.069 Å, b = 3.069 Å, c = 32.644 Å
α = 90.00°, β = 90.00°, γ = 120.00°
Sites, in units of the cell vectors:
Au  0.333  0.667  0.710
Au  0.333  0.667  0.500
Au  0.333  0.667  0.290
Au  0.000  0.000  0.569
Au  0.667  0.333  0.431
Au  0.000  0.000  0.361
Au  0.667  0.333  0.639
Sn  0.000  0.000  0.784
Sn  0.667  0.333  0.216

As for the final energy: -3.3757 eV per atom. The space-group type is No. 164.



Record 6
First-principles (PBE) data for a geometry-optimized TbFe3 structure, as listed in the Open Quantum Materials Database.

a = 5.860 Å, b = 5.860 Å, c = 4.290 Å
α = 90.00°, β = 90.00°, γ = 120.00°
Sites, in units of the cell vectors:
Fe  0.727  0.864  0.250
Fe  0.273  0.136  0.750
Fe  0.136  0.273  0.250
Fe  0.136  0.864  0.250
Fe  0.864  0.136  0.750
Fe  0.864  0.727  0.750
Tb  0.667  0.333  0.250
Tb  0.333  0.667  0.750

The space-group type is No. 194. The calculation puts the formation energy at 136.8 meV per atom.



Record 7
First-principles (PBE) data for a geometry-optimized DyYPO structure, as listed in the Open Quantum Materials Database.

a = 4.320 Å, b = 4.320 Å, c = 8.510 Å
α = 90.00°, β = 90.00°, γ = 90.00°
Sites, in units of the cell vectors:
Dy  0.500  0.000  0.899
Dy  0.000  0.500  0.101
P  0.500  0.000  0.302
P  0.000  0.500  0.698
O  0.000  0.000  0.000
O  0.500  0.500  0.000
Y  0.000  0.000  0.500
Y  0.500  0.500  0.500

As for the final energy: -7.2743 eV per atom. The space-group type is No. 129.



Record 8
First-principles (PBE) data for a geometry-optimized MgNpPa structure, as listed in the Open Quantum Materials Database.

a = 4.682 Å, b = 4.682 Å, c = 4.682 Å
α = 60.00°, β = 60.00°, γ = 60.00°
Sites, in units of the cell vectors:
Mg  0.250  0.250  0.250
Pa  0.750  0.750  0.750
Np  0.000  0.000  0.000

As for the final energy: -6.9288 eV per atom. The space-group type is No. 216.



Record 9
First-principles (PBE) data for a geometry-optimized Er5Ga2Bi structure, as listed in the Open Quantum Materials Database.

a = 8.586 Å, b = 8.586 Å, c = 8.586 Å
α = 123.75°, β = 123.75°, γ = 83.62°
Sites, in units of the cell vectors:
Er  0.510  0.010  0.803
Er  0.010  0.207  0.500
Er  0.500  0.500  0.000
Er  0.000  0.000  0.000
Er  0.293  0.490  0.500
Er  0.207  0.707  0.197
Er  0.990  0.793  0.500
Er  0.490  0.990  0.197
Er  0.793  0.293  0.803
Er  0.707  0.510  0.500
Ga  0.150  0.650  0.799
Ga  0.650  0.850  0.500
Ga  0.850  0.350  0.201
Ga  0.350  0.150  0.500
Bi  0.750  0.750  0.000
Bi  0.250  0.250  0.000

As for the final energy: -4.6898 eV per atom. The space-group type is No. 140.



Record 10
First-principles (PBE) data for a geometry-optimized NaLuTaCo structure, as listed in the Open Quantum Materials Database.

a = 4.662 Å, b = 4.662 Å, c = 4.662 Å
α = 60.00°, β = 60.00°, γ = 60.00°
Sites, in units of the cell vectors:
Lu  0.500  0.500  0.500
Co  0.250  0.250  0.250
Ta  0.000  0.000  0.000
Na  0.750  0.750  0.750

As for the final energy: -5.6152 eV per atom. The space-group type is No. 216.



Record 11
First-principles (PBE) data for a geometry-optimized AlAuSO structure, as listed in the Open Quantum Materials Database.

a = 6.788 Å, b = 8.224 Å, c = 5.594 Å
α = 90.00°, β = 90.00°, γ = 90.00°
Sites, in units of the cell vectors:
O  0.854  0.140  0.125
O  0.646  0.140  0.625
O  0.354  0.860  0.125
O  0.146  0.860  0.625
S  0.971  0.375  0.625
S  0.529  0.375  0.125
S  0.029  0.625  0.125
S  0.471  0.625  0.625
Al  0.250  0.757  0.875
Al  0.750  0.243  0.375
Al  0.250  0.757  0.375
Al  0.750  0.243  0.875
Au  0.102  0.114  0.625
Au  0.602  0.886  0.625
Au  0.898  0.886  0.125
Au  0.398  0.114  0.125

As for the final energy: -5.1703 eV per atom. The space-group type is No. 57.



Record 12
First-principles (PBE) data for a geometry-optimized Fe5Si2P structure, as listed in the Open Quantum Materials Database.

a = 6.691 Å, b = 6.691 Å, c = 6.691 Å
α = 129.90°, β = 129.90°, γ = 73.57°
Sites, in units of the cell vectors:
Fe  0.004  0.813  0.500
Fe  0.996  0.187  0.500
Fe  0.000  0.000  0.000
Fe  0.496  0.996  0.809
Fe  0.500  0.500  0.000
Fe  0.813  0.313  0.809
Fe  0.187  0.687  0.191
Fe  0.313  0.504  0.500
Fe  0.687  0.496  0.500
Fe  0.504  0.004  0.191
Si  0.855  0.355  0.211
Si  0.645  0.855  0.500
Si  0.145  0.645  0.789
Si  0.355  0.145  0.500
P  0.750  0.750  0.000
P  0.250  0.250  0.000

As for the final energy: -7.4588 eV per atom. The space-group type is No. 140.